Record 1
{"formula": "LuSc2Sn", "functional": "GGA-PBE", "state": "optimized geometry", "lattice_angstrom": [[-0.253, 2.210, 4.611], [-4.549, 1.207, 2.015], [-1.805, -2.631, 4.004]], "species": ["Lu", "Sc", "Sc", "Sn"], "fractional_positions": [[0.250, 0.250, 0.250], [0.000, 0.000, 0.000], [0.750, 0.750, 0.750], [0.500, 0.500, 0.500]], "sg": "No. 216"}

Record 2
{"formula": "Lu2ScSn", "functional": "GGA-PBE", "state": "optimized geometry", "lattice_angstrom": [[3.702, 1.604, 3.277], [-1.307, 2.072, 4.584], [0.900, -2.630, 4.392]], "species": ["Lu", "Lu", "Sc", "Sn"], "fractional_positions": [[0.000, 0.000, 0.000], [0.750, 0.750, 0.750], [0.250, 0.250, 0.250], [0.500, 0.500, 0.500]], "sg": "No. 216"}

Record 3
{"formula": "LuScZn2Sn2", "functional": "GGA-PBE", "state": "optimized geometry", "lattice_angstrom": [[-0.416, 2.643, -3.549], [1.035, -4.289, -0.533], [-14.612, -3.423, -0.838]], "species": ["Lu", "Lu", "Sc", "Sc", "Sn", "Sn", "Sn", "Sn", "Zn", "Zn", "Zn", "Zn"], "fractional_positions": [[0.000, 0.000, 0.000], [0.000, 0.000, 0.500], [0.000, 0.000, 0.250], [0.000, 0.000, 0.750], [0.333, 0.667, 0.114], [0.333, 0.667, 0.386], [0.667, 0.333, 0.614], [0.667, 0.333, 0.886], [0.667, 0.333, 0.163], [0.667, 0.333, 0.337], [0.333, 0.667, 0.663], [0.333, 0.667, 0.837]], "de_polymorph_ev_per_atom": 0.000, "sg": "No. 194"}

no.,VASP energy (eV/atom)
1,-5.529
2,-5.046
3,-4.037